TbCd3Hg6 | PBE | relaxed

a = 10.3851 Å, b = 4.6621 Å, c = 11.8951 Å
α = 90.00°, β = 114.62°, γ = 90.00°
Atoms (fractional coordinates):
Tb: 0.0052 0.2500 0.3577
Tb: 0.9948 0.7500 0.6423
Cd: 0.2054 0.2500 0.1165
Cd: 0.3492 0.7500 0.8517
Cd: 0.3788 0.2500 0.4972
Cd: 0.6212 0.7500 0.5028
Cd: 0.6508 0.2500 0.1483
Cd: 0.7946 0.7500 0.8835
Hg: 0.0939 0.7500 0.2118
Hg: 0.1163 0.7500 0.9356
Hg: 0.1997 0.7500 0.4991
Hg: 0.2080 0.2500 0.6817
Hg: 0.4422 0.7500 0.1231
Hg: 0.4888 0.2500 0.3114
Hg: 0.5112 0.7500 0.6886
Hg: 0.5578 0.2500 0.8769
Hg: 0.7920 0.7500 0.3183
Hg: 0.8003 0.2500 0.5009
Hg: 0.8837 0.2500 0.0644
Hg: 0.9061 0.2500 0.7882

Summary:
For the excess energy over the best structure of this formula in the dataset, the calculation gives 22.9 meV/atom. Its formation energy from the elements is -0.0894 eV/atom.